# Re2AuN | Alexandria via LeMat-Bulk | GGA-PBE | optimized geometry
# DFT total energy in eV/atom: -8.1855
# Formation energy without anion corrections in eV per atom: 0.939
# Crystal system: tetragonal
data_Re2AuN
_chemical_formula_sum 'Re8 Au4 N4'
_space_group_name_H-M_alt 'I -4 2 d'
_space_group_IT_number 122
_space_group_name_Hall 'I -4 2bw'
_cell_length_a 4.8623
_cell_length_b 4.8623
_cell_length_c 11.5221
_cell_angle_alpha 90.00
_cell_angle_beta 90.00
_cell_angle_gamma 90.00
loop_
_atom_site_label
_atom_site_fract_x
_atom_site_fract_y
_atom_site_fract_z
Re1 0.1165 0.2500 0.1250
Au1 0.0000 0.0000 0.5000
N1 0.0000 0.0000 0.0000

# YInOs2 | Alexandria via LeMat-Bulk | GGA-PBE | optimized geometry
# DFT total energy in eV/atom: -7.7456
# DFT formation energy in kJ per mole of atoms: 16.4
# Crystal system: orthorhombic
data_YInOs2
_chemical_formula_sum 'Y2 In2 Os4'
_space_group_name_H-M_alt 'I m m 2'
_space_group_IT_number 44
_space_group_name_Hall 'I 2 -2'
_cell_length_a 3.1604
_cell_length_b 4.6900
_cell_length_c 10.1634
_cell_angle_alpha 90.00
_cell_angle_beta 90.00
_cell_angle_gamma 90.00
loop_
_atom_site_label
_atom_site_fract_x
_atom_site_fract_y
_atom_site_fract_z
Y1 0.0000 0.0000 0.0000
In1 0.0000 0.5000 0.7824
Os1 0.0000 0.0000 0.5211
Os2 0.0000 0.5000 0.2297

# NdCu | Alexandria via LeMat-Bulk | GGA-PBE | optimized geometry
# DFT total energy in eV/atom: -4.6184
# DFT formation energy in kJ per mole of atoms: -18.0
# Crystal system: orthorhombic
data_NdCu
_chemical_formula_sum 'Nd4 Cu4'
_space_group_name_H-M_alt 'P n m a'
_space_group_IT_number 62
_space_group_name_Hall '-P 2ac 2n'
_cell_length_a 7.4290
_cell_length_b 4.5800
_cell_length_c 5.5668
_cell_angle_alpha 90.00
_cell_angle_beta 90.00
_cell_angle_gamma 90.00
loop_
_atom_site_label
_atom_site_fract_x
_atom_site_fract_y
_atom_site_fract_z
Nd1 0.1799 0.2500 0.1220
Cu1 0.0333 0.2500 0.6158

# TcRh2Se | Alexandria via LeMat-Bulk | GGA-PBE | optimized geometry
# DFT total energy in eV/atom: -6.9339
# Formation energy without anion corrections in eV per atom: 0.204
# Crystal system: orthorhombic
data_TcRh2Se
_chemical_formula_sum 'Tc2 Rh4 Se2'
_space_group_name_H-M_alt 'C m m m'
_space_group_IT_number 65
_space_group_name_Hall '-C 2 2'
_cell_length_a 5.4277
_cell_length_b 7.7489
_cell_length_c 2.8426
_cell_angle_alpha 90.00
_cell_angle_beta 90.00
_cell_angle_gamma 90.00
loop_
_atom_site_label
_atom_site_fract_x
_atom_site_fract_y
_atom_site_fract_z
Tc1 0.0000 0.0000 0.0000
Rh1 0.2500 0.2500 0.5000
Se1 0.0000 0.5000 0.0000

# Na2Cd4Hg5 | Alexandria via LeMat-Bulk | GGA-PBE | optimized geometry
# DFT total energy in eV/atom: -0.8110
# DFT formation energy in kJ per mole of atoms: -9.8
# Crystal system: triclinic
data_Na2Cd4Hg5
_chemical_formula_sum 'Na2 Cd4 Hg5'
_space_group_name_H-M_alt 'P -1'
_space_group_IT_number 2
_space_group_name_Hall '-P 1'
_cell_length_a 4.9679
_cell_length_b 6.2747
_cell_length_c 9.8468
_cell_angle_alpha 100.83
_cell_angle_beta 90.85
_cell_angle_gamma 110.27
loop_
_atom_site_label
_atom_site_fract_x
_atom_site_fract_y
_atom_site_fract_z
Na1 0.1321 0.2365 0.1881
Cd1 0.1666 0.3384 0.8174
Cd2 0.4336 0.8658 0.3376
Hg1 0.0000 0.0000 0.5000
Hg2 0.2940 0.5980 0.5875
Hg3 0.3701 0.7671 0.0302

# YSi3Tc | Alexandria via LeMat-Bulk | GGA-PBE | optimized geometry
# DFT total energy in eV/atom: -4.6324
# Formation energy without anion corrections in eV per atom: 1.987
# Crystal system: cubic
data_YSi3Tc
_chemical_formula_sum 'Y1 Si3 Tc1'
_space_group_name_H-M_alt 'P m -3 m'
_space_group_IT_number 221
_space_group_name_Hall '-P 4 2 3'
_cell_length_a 5.0218
_cell_length_b 5.0218
_cell_length_c 5.0218
_cell_angle_alpha 90.00
_cell_angle_beta 90.00
_cell_angle_gamma 90.00
loop_
_atom_site_label
_atom_site_fract_x
_atom_site_fract_y
_atom_site_fract_z
Y1 0.0000 0.0000 0.0000
Si1 0.0000 0.0000 0.5000
Tc1 0.5000 0.5000 0.5000

# ReCl2 | Alexandria via LeMat-Bulk | GGA-PBE | optimized geometry
# DFT total energy in eV/atom: -5.2038
# Formation energy without anion corrections in eV per atom: 0.177
# Crystal system: orthorhombic
data_ReCl2
_chemical_formula_sum 'Re4 Cl8'
_space_group_name_H-M_alt 'C m c m'
_space_group_IT_number 63
_space_group_name_Hall '-C 2c 2'
_cell_length_a 3.0358
_cell_length_b 15.6644
_cell_length_c 5.1819
_cell_angle_alpha 90.00
_cell_angle_beta 90.00
_cell_angle_gamma 90.00
loop_
_atom_site_label
_atom_site_fract_x
_atom_site_fract_y
_atom_site_fract_z
Re1 0.0000 0.2258 0.2500
Cl1 0.0000 0.1566 0.7500
Cl2 0.0000 0.3981 0.7500

# Zn2TcAu | Alexandria via LeMat-Bulk | GGA-PBE | optimized geometry
# DFT total energy in eV/atom: -3.9133
# DFT formation energy in kJ per mole of atoms: 13.0
# Crystal system: trigonal
data_Zn2TcAu
_chemical_formula_sum 'Zn6 Tc3 Au3'
_space_group_name_H-M_alt 'R 3 m'
_space_group_IT_number 160
_space_group_name_Hall 'R 3 -2"'
_cell_length_a 2.8039
_cell_length_b 2.8039
_cell_length_c 27.4192
_cell_angle_alpha 90.00
_cell_angle_beta 90.00
_cell_angle_gamma 120.00
loop_
_atom_site_label
_atom_site_fract_x
_atom_site_fract_y
_atom_site_fract_z
Zn1 0.0000 0.0000 0.0000
Zn2 0.0000 0.0000 0.2496
Tc1 0.0000 0.0000 0.5047
Au1 0.0000 0.0000 0.7512